(1)
Compound: NbFe3Ge
Source: Alexandria
Functional: meta-GGA SCAN
Structure: PBEsol geometry

POSCAR file:
```
NbFe3Ge
1.0
4.160 0.000 0.000
0.000 4.160 0.000
0.000 0.000 4.160
Nb Ge Fe
1 1 3
direct
0.500 0.500 0.500
0.000 0.000 0.000
0.000 0.500 0.000
0.500 0.000 0.000
0.000 0.000 0.500
```

Summary:
- Total moment: 5.580 μB per formula unit
- Total energy: -20.43 eV per atom
- Space group: No. 221
- ΔH_f (0 K): 890 meV/atom

(2)
Compound: Os2PdI
Source: Alexandria
Functional: meta-GGA SCAN
Structure: PBEsol geometry

POSCAR file:
```
Os2PdI
1.0
4.470 0.000 0.000
2.235 3.871 0.000
2.235 1.290 3.650
Pd I Os
1 1 2
direct
0.000 0.000 0.000
0.500 0.500 0.500
0.250 0.250 0.250
0.750 0.750 0.750
```

Summary:
- ΔE_f (raw): 5.38 eV per formula unit
- Total moment: 0.000 μB per formula unit
- Total energy: -51.97 eV per atom
- Space group: No. 225